First-principles (GGA-PBE) data for an optimized crystal structure of HfZnCo2, as listed in the Open Quantum Materials Database.

E_tot in eV per atom: -6.685
Size of the total moment in μB per atom: 0.00
Crystal system: cubic
ΔE_f in eV/atom: -0.327
Space-group type: Fm-3m, No. 225

abc: 4.232 4.232 4.232
angles: 60.00 60.00 60.00
Element x y z (fractional)
Hf 0.000 0.000 0.000
Zn 0.500 0.500 0.500
Co 0.250 0.250 0.250
Co 0.750 0.750 0.750

First-principles (GGA-PBE) data for an optimized crystal structure of HfZnCo2, as listed in the Open Quantum Materials Database.

E_tot in eV per atom: -6.632
Size of the total moment in μB per atom: 0.00
Crystal system: tetragonal
ΔE_f in eV/atom: -0.273
Space-group type: P4/mmm, No. 123

abc: 3.086 3.086 5.702
angles: 90.00 90.00 90.00
Element x y z (fractional)
Hf 0.000 0.000 0.000
Zn 0.000 0.000 0.500
Co 0.500 0.500 0.264
Co 0.500 0.500 0.736

First-principles (GGA-PBE) data for an optimized crystal structure of HfZrZnCo2, as listed in the Open Quantum Materials Database.

E_tot in eV per atom: -7.156
Size of the total moment in μB per atom: 0.01
Crystal system: orthorhombic
ΔE_f in eV/atom: -0.360
Space-group type: Imm2, No. 44

abc: 4.962 4.962 4.962
angles: 131.91 116.67 83.30
Element x y z (fractional)
Hf 0.000 0.000 0.000
Zr 0.587 0.587 0.000
Zn 0.293 0.793 0.500
Co 0.018 0.294 0.723
Co 0.571 0.294 0.277

First-principles (GGA-PBE) data for an optimized crystal structure of HfZr2Co, as listed in the Open Quantum Materials Database.

E_tot in eV per atom: -8.425
Size of the total moment in μB per atom: 0.33
Crystal system: cubic
ΔE_f in eV/atom: 0.114
Space-group type: F-43m, No. 216

abc: 4.725 4.725 4.725
angles: 60.00 60.00 60.00
Element x y z (fractional)
Hf 0.000 0.000 0.000
Zr 0.500 0.500 0.500
Zr 0.750 0.750 0.750
Co 0.250 0.250 0.250

First-principles (GGA-PBE) data for an optimized crystal structure of HfZrCo2, as listed in the Open Quantum Materials Database.

E_tot in eV per atom: -8.121
Size of the total moment in μB per atom: 0.39
Crystal system: cubic
ΔE_f in eV/atom: 0.058
Space-group type: F-43m, No. 216

abc: 4.422 4.422 4.422
angles: 60.00 60.00 60.00
Element x y z (fractional)
Hf 0.000 0.000 0.000
Zr 0.750 0.750 0.750
Co 0.250 0.250 0.250
Co 0.500 0.500 0.500

First-principles (GGA-PBE) data for an optimized crystal structure of CoHg, as listed in the Open Quantum Materials Database.

E_tot in eV per atom: -2.402
Size of the total moment in μB per atom: 0.89
Crystal system: hexagonal
ΔE_f in eV/atom: 1.300
Space-group type: P6_3mc, No. 186

abc: 4.142 4.142 6.726
angles: 90.00 90.00 120.00
Element x y z (fractional)
Co 0.333 0.667 0.000
Co 0.667 0.333 0.500
Hg 0.333 0.667 0.375
Hg 0.667 0.333 0.875

First-principles (GGA-PBE) data for an optimized crystal structure of Co15Hg, as listed in the Open Quantum Materials Database.

E_tot in eV per atom: -6.525
Size of the total moment in μB per atom: 1.52
Crystal system: monoclinic
ΔE_f in eV/atom: 0.156
Space-group type: P2_1/m, No. 11

abc: 4.976 3.474 33.466
angles: 90.00 90.00 90.00
Element x y z (fractional)
Co 0.122 0.250 0.258
Co 0.124 0.250 0.332
Co 0.125 0.250 0.407
Co 0.125 0.250 0.481
Co 0.125 0.250 0.556
Co 0.125 0.250 0.630
Co 0.125 0.250 0.704
Co 0.372 0.750 0.742
Co 0.374 0.750 0.668
Co 0.375 0.750 0.225
Co 0.375 0.750 0.295
Co 0.375 0.750 0.370
Co 0.375 0.750 0.444
Co 0.375 0.750 0.519
Co 0.375 0.750 0.593
Co 0.625 0.250 0.407
Co 0.625 0.250 0.481
Co 0.625 0.250 0.556
Co 0.625 0.250 0.630
Co 0.625 0.250 0.705
Co 0.625 0.250 0.775
Co 0.626 0.250 0.332
Co 0.628 0.250 0.258
Co 0.875 0.750 0.296
Co 0.875 0.750 0.370
Co 0.875 0.750 0.444
Co 0.875 0.750 0.519
Co 0.875 0.750 0.593
Co 0.876 0.750 0.668
Co 0.878 0.750 0.742
Hg 0.125 0.250 0.799
Hg 0.875 0.750 0.201

First-principles (GGA-PBE) data for an optimized crystal structure of Co124Hg, as listed in the Open Quantum Materials Database.

E_tot in eV per atom: -7.019
Size of the total moment in μB per atom: 1.60
Crystal system: cubic
ΔE_f in eV/atom: 0.033
Space-group type: Fm-3m, No. 225

abc: 12.393 12.393 12.393
angles: 60.00 60.00 60.00
Element x y z (fractional)
Co 0.098 0.500 0.701
Co 0.098 0.701 0.500
Co 0.098 0.701 0.701
Co 0.099 0.500 0.500
Co 0.099 0.500 0.901
Co 0.099 0.901 0.500
Co 0.100 0.100 0.100
Co 0.100 0.100 0.300
Co 0.100 0.100 0.500
Co 0.100 0.100 0.700
Co 0.100 0.100 0.900
Co 0.100 0.300 0.100
Co 0.100 0.300 0.300
Co 0.100 0.300 0.500
Co 0.100 0.300 0.700
Co 0.100 0.300 0.900
Co 0.100 0.500 0.100
Co 0.100 0.500 0.300
Co 0.100 0.700 0.100
Co 0.100 0.700 0.300
Co 0.100 0.700 0.900
Co 0.100 0.900 0.100
Co 0.100 0.900 0.300
Co 0.100 0.900 0.700
Co 0.100 0.900 0.900
Co 0.291 0.500 0.500
Co 0.291 0.500 0.709
Co 0.291 0.709 0.500
Co 0.299 0.299 0.500
Co 0.299 0.299 0.902
Co 0.299 0.500 0.299
Co 0.299 0.500 0.902
Co 0.299 0.902 0.299
Co 0.299 0.902 0.500
Co 0.300 0.100 0.100
Co 0.300 0.100 0.300
Co 0.300 0.100 0.500
Co 0.300 0.100 0.700
Co 0.300 0.100 0.900
Co 0.300 0.300 0.100
Co 0.300 0.300 0.300
Co 0.300 0.300 0.700
Co 0.300 0.500 0.100
Co 0.300 0.700 0.100
Co 0.300 0.700 0.300
Co 0.300 0.700 0.700
Co 0.300 0.700 0.900
Co 0.300 0.900 0.100
Co 0.300 0.900 0.700
Co 0.300 0.900 0.900
Co 0.500 0.098 0.701
Co 0.500 0.099 0.500
Co 0.500 0.099 0.901
Co 0.500 0.100 0.100
Co 0.500 0.100 0.300
Co 0.500 0.291 0.500
Co 0.500 0.291 0.709
Co 0.500 0.299 0.299
Co 0.500 0.299 0.902
Co 0.500 0.300 0.100
Co 0.500 0.500 0.099
Co 0.500 0.500 0.291
Co 0.500 0.500 0.709
Co 0.500 0.500 0.901
Co 0.500 0.700 0.900
Co 0.500 0.701 0.098
Co 0.500 0.701 0.701
Co 0.500 0.709 0.291
Co 0.500 0.709 0.500
Co 0.500 0.900 0.700
Co 0.500 0.900 0.900
Co 0.500 0.901 0.099
Co 0.500 0.901 0.500
Co 0.500 0.902 0.299
Co 0.700 0.100 0.100
Co 0.700 0.100 0.300
Co 0.700 0.100 0.900
Co 0.700 0.300 0.100
Co 0.700 0.300 0.300
Co 0.700 0.300 0.700
Co 0.700 0.300 0.900
Co 0.700 0.500 0.900
Co 0.700 0.700 0.300
Co 0.700 0.700 0.700
Co 0.700 0.700 0.900
Co 0.700 0.900 0.100
Co 0.700 0.900 0.300
Co 0.700 0.900 0.500
Co 0.700 0.900 0.700
Co 0.700 0.900 0.900
Co 0.701 0.098 0.500
Co 0.701 0.098 0.701
Co 0.701 0.500 0.098
Co 0.701 0.500 0.701
Co 0.701 0.701 0.098
Co 0.701 0.701 0.500
Co 0.709 0.291 0.500
Co 0.709 0.500 0.291
Co 0.709 0.500 0.500
Co 0.900 0.100 0.100
Co 0.900 0.100 0.300
Co 0.900 0.100 0.700
Co 0.900 0.100 0.900
Co 0.900 0.300 0.100
Co 0.900 0.300 0.700
Co 0.900 0.300 0.900
Co 0.900 0.500 0.700
Co 0.900 0.500 0.900
Co 0.900 0.700 0.100
Co 0.900 0.700 0.300
Co 0.900 0.700 0.500
Co 0.900 0.700 0.700
Co 0.900 0.700 0.900
Co 0.900 0.900 0.100
Co 0.900 0.900 0.300
Co 0.900 0.900 0.500
Co 0.900 0.900 0.700
Co 0.900 0.900 0.900
Co 0.901 0.099 0.500
Co 0.901 0.500 0.099
Co 0.901 0.500 0.500
Co 0.902 0.299 0.299
Co 0.902 0.299 0.500
Co 0.902 0.500 0.299
Hg 0.500 0.500 0.500

First-principles (GGA-PBE) data for an optimized crystal structure of CoHg, as listed in the Open Quantum Materials Database.

E_tot in eV per atom: -3.099
Size of the total moment in μB per atom: 0.75
Crystal system: hexagonal
ΔE_f in eV/atom: 0.603
Space-group type: P-6m2, No. 187

abc: 2.949 2.949 4.352
angles: 90.00 90.00 120.00
Element x y z (fractional)
Co 0.000 0.000 0.000
Hg 0.667 0.333 0.500

First-principles (GGA-PBE) data for an optimized crystal structure of CoHg, as listed in the Open Quantum Materials Database.

E_tot in eV per atom: -2.864
Size of the total moment in μB per atom: 0.70
Crystal system: cubic
ΔE_f in eV/atom: 0.838
Space-group type: Fm-3m, No. 225

abc: 3.720 3.720 3.720
angles: 60.00 60.00 60.00
Element x y z (fractional)
Co 0.000 0.000 0.000
Hg 0.500 0.500 0.500

First-principles (GGA-PBE) data for an optimized crystal structure of Co8Hg, as listed in the Open Quantum Materials Database.

E_tot in eV per atom: -6.164
Size of the total moment in μB per atom: 1.42
Crystal system: monoclinic
ΔE_f in eV/atom: 0.186
Space-group type: C2/m, No. 12

abc: 4.280 4.280 28.496
angles: 90.07 90.07 47.83
Element x y z (fractional)
Co 0.049 0.049 0.404
Co 0.050 0.050 0.679
Co 0.150 0.150 0.486
Co 0.249 0.249 0.296
Co 0.251 0.251 0.569
Co 0.348 0.348 0.650
Co 0.353 0.353 0.376
Co 0.449 0.449 0.459
Co 0.551 0.551 0.541
Co 0.647 0.647 0.624
Co 0.652 0.652 0.350
Co 0.749 0.749 0.431
Co 0.751 0.751 0.704
Co 0.850 0.850 0.514
Co 0.950 0.950 0.321
Co 0.951 0.951 0.596
Hg 0.451 0.451 0.753
Hg 0.549 0.549 0.247

First-principles (GGA-PBE) data for an optimized crystal structure of CoHg2, as listed in the Open Quantum Materials Database.

E_tot in eV per atom: -1.670
Size of the total moment in μB per atom: 0.56
Crystal system: cubic
ΔE_f in eV/atom: 0.897
Space-group type: Fd-3m, No. 227

abc: 8.238 8.238 8.238
angles: 60.00 60.00 60.00
Element x y z (fractional)
Co 0.125 0.125 0.125
Co 0.875 0.875 0.875
Hg 0.000 0.000 0.000
Hg 0.000 0.000 0.500
Hg 0.000 0.500 0.000
Hg 0.500 0.000 0.000

First-principles (GGA-PBE) data for an optimized crystal structure of Co15Hg, as listed in the Open Quantum Materials Database.

E_tot in eV per atom: -6.529
Size of the total moment in μB per atom: 1.52
Crystal system: monoclinic
ΔE_f in eV/atom: 0.152
Space-group type: P2/c, No. 13

abc: 4.270 33.499 4.270
angles: 90.00 108.74 90.00
Element x y z (fractional)
Co 0.000 0.018 0.250
Co 0.000 0.056 0.750
Co 0.000 0.092 0.250
Co 0.000 0.130 0.750
Co 0.000 0.167 0.250
Co 0.000 0.205 0.750
Co 0.000 0.241 0.250
Co 0.000 0.759 0.750
Co 0.000 0.795 0.250
Co 0.000 0.833 0.750
Co 0.000 0.870 0.250
Co 0.000 0.908 0.750
Co 0.000 0.944 0.250
Co 0.000 0.982 0.750
Co 0.500 0.019 0.750
Co 0.500 0.055 0.250
Co 0.500 0.093 0.750
Co 0.500 0.129 0.250
Co 0.500 0.167 0.750
Co 0.500 0.202 0.250
Co 0.500 0.241 0.750
Co 0.500 0.273 0.250
Co 0.500 0.727 0.750
Co 0.500 0.759 0.250
Co 0.500 0.798 0.750
Co 0.500 0.833 0.250
Co 0.500 0.871 0.750
Co 0.500 0.907 0.250
Co 0.500 0.945 0.750
Co 0.500 0.981 0.250
Hg 0.000 0.296 0.750
Hg 0.000 0.704 0.250

First-principles (GGA-PBE) data for an optimized crystal structure of Co9Hg, as listed in the Open Quantum Materials Database.

E_tot in eV per atom: -6.195
Size of the total moment in μB per atom: 0.94
Crystal system: tetragonal
ΔE_f in eV/atom: 0.230
Space-group type: P4/nmm, No. 129

abc: 2.533 2.533 46.715
angles: 90.00 90.00 90.00
Element x y z (fractional)
Co 0.250 0.250 0.018
Co 0.250 0.250 0.091
Co 0.250 0.250 0.162
Co 0.250 0.250 0.234
Co 0.250 0.250 0.306
Co 0.250 0.250 0.729
Co 0.250 0.250 0.802
Co 0.250 0.250 0.875
Co 0.250 0.250 0.946
Co 0.750 0.750 0.054
Co 0.750 0.750 0.125
Co 0.750 0.750 0.198
Co 0.750 0.750 0.271
Co 0.750 0.750 0.694
Co 0.750 0.750 0.766
Co 0.750 0.750 0.838
Co 0.750 0.750 0.909
Co 0.750 0.750 0.982
Hg 0.250 0.250 0.643
Hg 0.750 0.750 0.357

First-principles (GGA-PBE) data for an optimized crystal structure of Co15Hg, as listed in the Open Quantum Materials Database.

E_tot in eV per atom: -6.545
Size of the total moment in μB per atom: 1.21
Crystal system: orthorhombic
ΔE_f in eV/atom: 0.136
Space-group type: Pmm2, No. 25

abc: 3.496 3.498 41.091
angles: 90.00 90.00 90.00
Element x y z (fractional)
Co 0.000 0.000 0.000
Co 0.000 0.000 0.082
Co 0.000 0.000 0.166
Co 0.000 0.000 0.251
Co 0.000 0.000 0.336
Co 0.000 0.000 0.420
Co 0.000 0.000 0.505
Co 0.000 0.000 0.590
Co 0.000 0.500 0.039
Co 0.000 0.500 0.124
Co 0.000 0.500 0.209
Co 0.000 0.500 0.293
Co 0.000 0.500 0.378
Co 0.000 0.500 0.462
Co 0.000 0.500 0.547
Co 0.000 0.500 0.629
Co 0.500 0.000 0.039
Co 0.500 0.000 0.124
Co 0.500 0.000 0.209
Co 0.500 0.000 0.293
Co 0.500 0.000 0.378
Co 0.500 0.000 0.463
Co 0.500 0.000 0.548
Co 0.500 0.500 0.081
Co 0.500 0.500 0.166
Co 0.500 0.500 0.251
Co 0.500 0.500 0.336
Co 0.500 0.500 0.420
Co 0.500 0.500 0.505
Co 0.500 0.500 0.590
Hg 0.500 0.000 0.653
Hg 0.500 0.500 0.975